Record 1
This record from Alexandria describes a relaxed CsNiCl crystal. The functional is PBE.

Summary:
E_tot, eV/atom: -3.385
E_form (uncorrected), meV per atom: -558
Polymorph energy (0 for the lowest one), kJ/mol of atoms: 4.0
M_tot, μB per atom: 0.000

CIF file:
```
data_CsNiCl
_chemical_formula_sum 'Cs2 Ni2 Cl2'
_symmetry_space_group_name_H-M 'P 1'
_symmetry_Int_Tables_number 1
_cell_length_a 4.2943
_cell_length_b 8.6472
_cell_length_c 5.4099
_cell_angle_alpha 108.18
_cell_angle_beta 90.02
_cell_angle_gamma 90.00
loop_
_symmetry_equiv_pos_as_xyz
'x,y,z'
loop_
_atom_site_label
_atom_site_type_symbol
_atom_site_fract_x
_atom_site_fract_y
_atom_site_fract_z
_atom_site_occupancy
Cs1 Cs 0.3343 0.4231 0.3202 1
Cs2 Cs 0.3345 0.9517 0.5816 1
Ni1 Ni 0.8346 0.5551 0.8856 1
Ni2 Ni 0.3347 0.7154 0.9640 1
Cl1 Cl 0.8347 0.8098 0.0107 1
Cl2 Cl 0.8344 0.2911 0.7553 1
```

=====

Record 2
This record from Alexandria describes a relaxed Cu2Au3 crystal. The functional is PBE.

Summary:
E_tot, eV/atom: -3.551
Energy of formation from the pure elements, meV/atom: 54
Polymorph energy (0 for the lowest one), kJ/mol of atoms: 9.5
M_tot, μB per atom: 0.000

CIF file:
```
data_Cu2Au3
_chemical_formula_sum 'Cu4 Au6'
_symmetry_space_group_name_H-M 'P 1'
_symmetry_Int_Tables_number 1
_cell_length_a 7.5572
_cell_length_b 7.5572
_cell_length_c 5.4400
_cell_angle_alpha 46.01
_cell_angle_beta 46.01
_cell_angle_gamma 60.00
loop_
_symmetry_equiv_pos_as_xyz
'x,y,z'
loop_
_atom_site_label
_atom_site_type_symbol
_atom_site_fract_x
_atom_site_fract_y
_atom_site_fract_z
_atom_site_occupancy
Cu1 Cu 0.1245 0.1245 0.6264 1
Cu2 Cu 0.6245 0.6245 0.1264 1
Cu3 Cu 0.8755 0.8755 0.3736 1
Cu4 Cu 0.3755 0.3755 0.8736 1
Au1 Au 0.5686 0.9314 0.2500 1
Au2 Au 0.4314 0.0686 0.7500 1
Au3 Au 0.0686 0.7500 0.7500 1
Au4 Au 0.9314 0.2500 0.2500 1
Au5 Au 0.2500 0.5686 0.2500 1
Au6 Au 0.7500 0.4314 0.7500 1
```

=====

Record 3
This record from Alexandria describes a relaxed Cr2ReHRu crystal. The functional is PBE.

Summary:
E_tot, eV/atom: -8.737
Polymorph energy (0 for the lowest one), kJ/mol of atoms: 3.3
M_tot, μB per atom: 0.000

CIF file:
```
data_Cr2ReHRu
_chemical_formula_sum 'Cr2 Re1 H1 Ru1'
_symmetry_space_group_name_H-M 'P 1'
_symmetry_Int_Tables_number 1
_cell_length_a 3.7896
_cell_length_b 3.7896
_cell_length_c 3.8162
_cell_angle_alpha 90.00
_cell_angle_beta 90.00
_cell_angle_gamma 90.00
loop_
_symmetry_equiv_pos_as_xyz
'x,y,z'
loop_
_atom_site_label
_atom_site_type_symbol
_atom_site_fract_x
_atom_site_fract_y
_atom_site_fract_z
_atom_site_occupancy
Cr1 Cr 0.5000 0.0000 0.0000 1
Cr2 Cr 0.0000 0.5000 0.0000 1
Ru1 Ru 0.5000 0.5000 0.5000 1
H1 H 0.0000 0.0000 0.0000 1
Re1 Re 0.0000 0.0000 0.5000 1
```

=====

Record 4
This record from Alexandria describes a relaxed Mn2Al2V crystal. The functional is PBE.

Summary:
E_tot, eV/atom: -7.017
Energy of formation from the pure elements, meV/atom: -29
Polymorph energy (0 for the lowest one), kJ/mol of atoms: 12.2
M_tot, μB per atom: 0.696

CIF file:
```
data_Mn2Al2V
_chemical_formula_sum 'Mn4 Al4 V2'
_symmetry_space_group_name_H-M 'P 1'
_symmetry_Int_Tables_number 1
_cell_length_a 7.0485
_cell_length_b 7.0485
_cell_length_c 2.7615
_cell_angle_alpha 90.00
_cell_angle_beta 90.00
_cell_angle_gamma 90.00
loop_
_symmetry_equiv_pos_as_xyz
'x,y,z'
loop_
_atom_site_label
_atom_site_type_symbol
_atom_site_fract_x
_atom_site_fract_y
_atom_site_fract_z
_atom_site_occupancy
Mn1 Mn 0.6678 0.8322 0.5000 1
Mn2 Mn 0.3322 0.1678 0.5000 1
Mn3 Mn 0.1678 0.6678 0.5000 1
Mn4 Mn 0.8322 0.3322 0.5000 1
Al1 Al 0.3697 0.8697 0.0000 1
Al2 Al 0.6303 0.1303 0.0000 1
Al3 Al 0.8697 0.6303 0.0000 1
Al4 Al 0.1303 0.3697 0.0000 1
V1 V 0.0000 0.0000 0.0000 1
V2 V 0.5000 0.5000 0.0000 1
```

=====

Record 5
This record from Alexandria describes a relaxed Ac8Ir3PdCl4 crystal. The functional is PBE.

Summary:
E_tot, eV/atom: -5.776
E_form (uncorrected), meV per atom: -1274
M_tot, μB per atom: 0.000

CIF file:
```
data_Ac8Ir3PdCl4
_chemical_formula_sum 'Ac8 Ir3 Pd1 Cl4'
_symmetry_space_group_name_H-M 'P 1'
_symmetry_Int_Tables_number 1
_cell_length_a 8.7359
_cell_length_b 9.4315
_cell_length_c 8.7357
_cell_angle_alpha 117.61
_cell_angle_beta 120.00
_cell_angle_gamma 90.00
loop_
_symmetry_equiv_pos_as_xyz
'x,y,z'
loop_
_atom_site_label
_atom_site_type_symbol
_atom_site_fract_x
_atom_site_fract_y
_atom_site_fract_z
_atom_site_occupancy
Ir1 Ir 0.0000 0.5000 0.5000 1
Ir2 Ir 0.5000 0.5000 0.0000 1
Ir3 Ir 0.5000 0.5000 0.5000 1
Ac1 Ac 0.2738 0.2972 0.0354 1
Ac2 Ac 0.7616 0.2972 0.0354 1
Ac3 Ac 0.2384 0.7028 0.9646 1
Ac4 Ac 0.2659 0.2977 0.5317 1
Ac5 Ac 0.2385 0.7028 0.4769 1
Ac6 Ac 0.7615 0.2972 0.5231 1
Ac7 Ac 0.7262 0.7028 0.9646 1
Ac8 Ac 0.7341 0.7023 0.4683 1
Cl1 Cl 0.5000 0.0000 0.5000 1
Cl2 Cl 0.0000 0.0000 0.5000 1
Cl3 Cl 0.0000 0.0000 0.0000 1
Cl4 Cl 0.5000 0.0000 0.0000 1
Pd1 Pd 0.0000 0.5000 0.0000 1
```

=====

Record 6
This record from Alexandria describes a relaxed RbNa7Hg4 crystal. The functional is PBE.

Summary:
E_tot, eV/atom: -1.062
Energy of formation from the pure elements, meV/atom: -112
M_tot, μB per atom: 0.000

CIF file:
```
data_RbNa7Hg4
_chemical_formula_sum 'Rb1 Na7 Hg4'
_symmetry_space_group_name_H-M 'P 1'
_symmetry_Int_Tables_number 1
_cell_length_a 5.9255
_cell_length_b 9.5071
_cell_length_c 7.8611
_cell_angle_alpha 78.83
_cell_angle_beta 67.86
_cell_angle_gamma 71.84
loop_
_symmetry_equiv_pos_as_xyz
'x,y,z'
loop_
_atom_site_label
_atom_site_type_symbol
_atom_site_fract_x
_atom_site_fract_y
_atom_site_fract_z
_atom_site_occupancy
Rb1 Rb 0.0000 0.0000 0.0000 1
Na1 Na 0.5000 0.0000 0.0000 1
Na2 Na 0.0655 0.6043 0.2648 1
Na3 Na 0.2171 0.1295 0.4363 1
Na4 Na 0.6732 0.3913 0.2623 1
Na5 Na 0.9345 0.3957 0.7352 1
Na6 Na 0.7829 0.8705 0.5637 1
Na7 Na 0.3268 0.6087 0.7377 1
Hg1 Hg 0.6855 0.6667 0.9623 1
Hg2 Hg 0.5636 0.2223 0.6506 1
Hg3 Hg 0.3145 0.3333 0.0377 1
Hg4 Hg 0.4364 0.7777 0.3494 1
```

=====

Q: Which formula does entry 5 have?
A: Ac8Ir3PdCl4